No. 1
Material: LaPmCd4
Method: DFT, PBE
State: relaxed

a = 3.4930 Å, b = 5.1097 Å, c = 8.8311 Å
α = 90.00°, β = 90.00°, γ = 90.00°
With the nearest neighbours (Å) after each atom.
Space group Pmmm (No. 47)
Inequivalent atoms, fractional coordinates:
La 0.0000 0.0000 0.0000 [1 per cell]  12 Cd 3.44-3.45, 2 La 3.49
Pm 0.0000 0.5000 0.5000 [1 per cell]  12 Cd 3.40-3.42, 2 Pm 3.49
Cd 0.5000 0.0000 0.3363 [2 per cell]  3 Cd 2.89-2.95
Cd 0.5000 0.5000 0.1702 [2 per cell]  3 Cd 2.95-3.01

Output
- E_form (eV per atom) = -0.358

***

No. 2
Material: BaGdTl
Method: DFT, PBE
State: relaxed

a = 5.5629 Å, b = 5.5629 Å, c = 4.1855 Å
α = 90.00°, β = 90.00°, γ = 120.00°
With the nearest neighbours (Å) after each atom.
Space group P-6m2 (No. 187)
Inequivalent atoms, fractional coordinates:
Ba 0.0000 0.0000 0.0000 [1 per cell]  6 Gd 3.83, 6 Tl 3.83, 2 Ba 4.19
Gd 0.3333 0.6667 0.5000 [1 per cell]  3 Tl 3.21
Tl 0.6667 0.3333 0.5000 [1 per cell]  3 Gd 3.21

Output
- E_form (eV per atom) = -0.118

***

| no. | distance to the lowest polymorph of the same formula (meV per atom) |
| --- | --- |
| 1 | 0 |
| 2 | 57 |